# TaMn3O6 PBE+U relaxed
data_TaMn3O6
_chemical_formula_sum 'Ta2 Mn6 O12'
_cell_length_a 5.1887
_cell_length_b 5.3953
_cell_length_c 9.5398
_cell_angle_alpha 90.00
_cell_angle_beta 121.86
_cell_angle_gamma 90.00
_symmetry_space_group_name_H-M 'P 1 21/c 1'
_symmetry_Int_Tables_number 14
_symmetry_space_group_name_Hall '-P 2ybc'
loop_
_atom_site_label
_atom_site_fract_x
_atom_site_fract_y
_atom_site_fract_z
Ta1 0.0000 0.0000 0.0000
Mn1 0.2768 0.0528 0.7562
Mn2 0.5000 0.0000 0.5000
O1 0.0993 0.0601 0.2292
O2 0.2758 0.6988 0.0780
O3 0.3689 0.2021 0.0595
# V ... 11.34 Å³/atom
# Magnetic moment ... 14.0 μB per formula unit
# Offset from the most stable computed form ... 0 meV per atom